! GGA-PBE Na3U3GaN8, optimized geometry; values from VASP
! Formation energy without anion corrections, meV per atom: -759
! Space-group type: No. 12
&SYSTEM
  ibrav = 0, nat = 15, ntyp = 4
/
ATOMIC_SPECIES
Na 22.99 Na.upf
N 14.01 N.upf
Ga 69.72 Ga.upf
U 238.03 U.upf
CELL_PARAMETERS angstrom
7.171 0.000 0.000
-3.585 5.693 -0.168
0.000 -3.911 5.783
ATOMIC_POSITIONS angstrom
Na 0.000 0.000 0.000
Na -1.793 2.847 -0.084
Na 1.793 2.847 -0.084
N 1.996 -0.874 1.819
N 0.000 -0.241 3.772
N 3.585 2.023 1.842
N -1.589 2.656 3.796
N 3.585 -0.074 3.907
N 0.000 1.856 1.707
N 1.589 2.656 3.796
N 5.175 -0.874 1.819
Ga 0.000 -1.956 2.892
U 1.793 0.891 2.807
U -1.793 0.891 2.807
U 3.585 -1.956 2.892

***

! GGA-PBE NaGaW2N, optimized geometry; values from VASP
! Formation energy without anion corrections, meV per atom: 2361
! Space-group type: No. 123
&SYSTEM
  ibrav = 0, nat = 5, ntyp = 4
/
ATOMIC_SPECIES
Ga 69.72 Ga.upf
N 14.01 N.upf
Na 22.99 Na.upf
W 183.84 W.upf
CELL_PARAMETERS angstrom
-2.197 -4.268 -1.329
-0.432 -0.893 3.585
-4.433 2.272 0.032
ATOMIC_POSITIONS angstrom
Ga 0.000 0.000 0.000
N -0.216 -0.447 1.793
Na -3.531 -1.445 1.144
W -1.099 -2.134 -0.664
W -2.216 1.136 0.016

***

! GGA-PBE NaY2GaN, optimized geometry; values from VASP
! Formation energy without anion corrections, meV per atom: -628
! Space-group type: No. 123
&SYSTEM
  ibrav = 0, nat = 5, ntyp = 4
/
ATOMIC_SPECIES
N 14.01 N.upf
Na 22.99 Na.upf
Ga 69.72 Ga.upf
Y 88.91 Y.upf
CELL_PARAMETERS angstrom
-1.461 0.033 -4.519
-4.488 -0.568 1.447
-0.521 4.626 0.202
ATOMIC_POSITIONS angstrom
N 0.000 0.000 0.000
Na -0.260 2.313 0.101
Ga -3.235 2.045 -1.435
Y -0.731 0.016 -2.260
Y -2.244 -0.284 0.723

***

! GGA-PBE NaZrGa2N, optimized geometry; values from VASP
! Formation energy without anion corrections, meV per atom: 1055
! Space-group type: No. 123
&SYSTEM
  ibrav = 0, nat = 5, ntyp = 4
/
ATOMIC_SPECIES
N 14.01 N.upf
Ga 69.72 Ga.upf
Na 22.99 Na.upf
Zr 91.22 Zr.upf
CELL_PARAMETERS angstrom
4.790 0.000 0.000
0.000 4.035 0.000
0.000 0.000 4.790
ATOMIC_POSITIONS angstrom
N 0.000 2.017 0.000
Ga 2.395 0.000 0.000
Ga 0.000 0.000 2.395
Na 0.000 0.000 0.000
Zr 2.395 2.017 2.395

***

! GGA-PBE NbGaN3, optimized geometry; values from VASP
! Formation energy without anion corrections, meV per atom: 1064
! Space-group type: No. 221
&SYSTEM
  ibrav = 0, nat = 5, ntyp = 3
/
ATOMIC_SPECIES
Nb 92.91 Nb.upf
N 14.01 N.upf
Ga 69.72 Ga.upf
CELL_PARAMETERS angstrom
-1.297 1.758 -3.047
1.272 -2.793 -2.153
-3.279 -1.779 0.369
ATOMIC_POSITIONS angstrom
Nb -1.652 -1.406 -2.415
N -0.648 0.879 -1.523
N -1.640 -0.889 0.185
N 0.636 -1.396 -1.077
Ga 0.000 0.000 0.000

***

! GGA-PBE Nb6GaN, optimized geometry; values from VASP
! Formation energy without anion corrections, meV per atom: -313
! Space-group type: No. 2
&SYSTEM
  ibrav = 0, nat = 8, ntyp = 3
/
ATOMIC_SPECIES
N 14.01 N.upf
Nb 92.91 Nb.upf
Ga 69.72 Ga.upf
CELL_PARAMETERS angstrom
-0.786 -1.526 5.773
-0.551 -4.654 1.353
4.595 -5.203 2.826
ATOMIC_POSITIONS angstrom
N 0.000 0.000 0.000
Nb 2.925 -8.331 5.325
Nb 1.887 -7.713 8.049
Nb 3.057 -10.221 8.243
Nb 0.200 -1.162 1.709
Nb 0.332 -3.052 4.627
Nb 1.370 -3.670 1.903
Ga 1.629 -5.692 4.976